{
  "formula": "SiPd",
  "functional": "PBE-GGA",
  "state": "relaxed",
  "sg": "Pnma",
  "vol_a3_per_cell": 120,
  "e_form_raw_ev_per_fu": -1.1,
  "crystal_system": "orthorhombic",
  "rho_kg_m3": 7418,
  "dos_ef_per_ev_cell": 0.90,
  "magmom_total_mub_per_atom": 0.00,
  "e_tot_ev_per_atom": -5.85,
  "lattice_angstrom": [[-1.671, 0.580, 2.917], [-0.219, -5.579, 0.984], [5.423, 0.324, 3.042]],
  "species": ["Si", "Si", "Si", "Si", "Pd", "Pd", "Pd", "Pd"],
  "fractional_positions": [[0.250, 0.677, 0.069], [0.750, 0.323, 0.931], [0.250, 0.177, 0.431], [0.750, 0.823, 0.569], [0.250, 0.504, 0.691], [0.750, 0.496, 0.309], [0.250, 0.004, 0.809], [0.750, 0.996, 0.191]]
}


{
  "formula": "SiPd3",
  "functional": "PBE-GGA",
  "state": "relaxed",
  "sg": "I4/mmm",
  "vol_a3_per_cell": 58,
  "e_form_raw_ev_per_fu": -1.5,
  "crystal_system": "tetragonal",
  "rho_kg_m3": 9904,
  "dos_ef_per_ev_cell": 1.57,
  "magmom_total_mub_per_atom": 0.00,
  "e_tot_ev_per_atom": -5.62,
  "lattice_angstrom": [[-3.844, -0.136, 1.016], [0.879, -2.470, 2.993], [1.972, 4.184, 0.230]],
  "species": ["Si", "Pd", "Pd", "Pd"],
  "fractional_positions": [[0.000, 0.000, 0.000], [0.750, 0.250, 0.500], [0.250, 0.750, 0.500], [0.500, 0.500, 0.000]]
}


{
  "formula": "SiPd",
  "functional": "PBE-GGA",
  "state": "relaxed",
  "sg": "F-43m",
  "vol_a3_per_cell": 162,
  "e_form_raw_ev_per_fu": -0.1,
  "crystal_system": "cubic",
  "rho_kg_m3": 5527,
  "dos_ef_per_ev_cell": 3.89,
  "magmom_total_mub_per_atom": 0.00,
  "e_tot_ev_per_atom": -5.35,
  "lattice_angstrom": [[-4.098, -1.710, -3.155], [3.485, -0.749, -4.119], [0.860, -5.117, 1.658]],
  "species": ["Si", "Si", "Si", "Si", "Pd", "Pd", "Pd", "Pd"],
  "fractional_positions": [[0.250, 0.250, 0.250], [0.250, 0.750, 0.750], [0.750, 0.250, 0.750], [0.750, 0.750, 0.250], [0.000, 0.000, 0.000], [0.000, 0.500, 0.500], [0.500, 0.000, 0.500], [0.500, 0.500, 0.000]]
}